[1]
Density functional theory data (PBE-GGA) for crystalline Li2PtAu9 at its relaxed geometry.

* size of the total moment: 0.0 μB/f.u.
* space group: No. 123
* E_form: -0.2155 eV/atom
* E: -3.4959 eV/atom

abc: 4.057 4.057 12.405
angles: 90.00 90.00 90.00
Element x y z (fractional)
Li1 0.000 0.000 0.167
Li2 0.000 0.000 0.833
Pt1 0.000 0.000 0.500
Au1 0.000 0.500 0.000
Au2 0.000 0.500 0.330
Au3 0.000 0.500 0.670
Au4 0.500 0.000 0.000
Au5 0.500 0.000 0.330
Au6 0.500 0.000 0.670
Au7 0.500 0.500 0.165
Au8 0.500 0.500 0.500
Au9 0.500 0.500 0.835

[2]
Density functional theory data (PBE-GGA) for crystalline LiPtAu2 at its relaxed geometry.

* size of the total moment: 0.0 μB/f.u.
* space group: No. 216
* E_form: -0.2182 eV/atom
* E: -3.8455 eV/atom

abc: 4.525 4.525 4.525
angles: 60.00 60.00 60.00
Element x y z (fractional)
Li1 0.000 0.000 0.000
Pt1 0.750 0.750 0.750
Au1 0.250 0.250 0.250
Au2 0.500 0.500 0.500

[3]
Density functional theory data (PBE-GGA) for crystalline LiPtAu2 at its relaxed geometry.

* size of the total moment: 0.0 μB/f.u.
* space group: No. 10
* E_form: -0.2738 eV/atom
* E: -3.9011 eV/atom

abc: 2.814 4.097 5.656
angles: 90.00 90.55 90.00
Element x y z (fractional)
Li1 0.000 0.000 0.000
Pt1 0.000 0.000 0.500
Au1 0.496 0.500 0.245
Au2 0.504 0.500 0.755

[4]
Density functional theory data (PBE-GGA) for crystalline LiPt2Au at its relaxed geometry.

* size of the total moment: 0.0 μB/f.u.
* space group: No. 12
* E_form: -0.3594 eV/atom
* E: -4.6776 eV/atom

abc: 5.501 5.501 2.765
angles: 104.15 104.15 120.40
Element x y z (fractional)
Li1 0.000 0.000 0.000
Pt1 0.000 0.500 0.500
Pt2 0.500 0.000 0.500
Au1 0.500 0.500 0.000

[5]
Density functional theory data (PBE-GGA) for crystalline LiPt2Au at its relaxed geometry.

* size of the total moment: 0.0 μB/f.u.
* space group: No. 8
* E_form: -0.3333 eV/atom
* E: -4.6515 eV/atom

abc: 5.210 5.210 4.914
angles: 113.95 113.95 31.19
Element x y z (fractional)
Li1 0.000 0.000 0.000
Pt1 0.498 0.498 0.478
Pt2 0.758 0.758 0.437
Au1 0.246 0.246 0.925

[6]
Density functional theory data (PBE-GGA) for crystalline LiPt2Au at its relaxed geometry.

* size of the total moment: 0.0 μB/f.u.
* space group: No. 47
* E_form: -0.3571 eV/atom
* E: -4.6753 eV/atom

abc: 2.815 4.699 4.730
angles: 90.00 90.00 90.00
Element x y z (fractional)
Li1 0.000 0.000 0.000
Pt1 0.000 0.500 0.500
Pt2 0.500 0.000 0.500
Au1 0.500 0.500 0.000